(1)
## RbOF2 (SCAN)

Data for RbOF2 at its PBEsol-relaxed geometry.

Cell: 4.5452 4.5452 5.8738 Å, 67.24 67.24 60.00°
Positions (direct):
F 0.8932 0.8932 0.3203
F 0.1068 0.1068 0.6797
Rb 0.5000 0.5000 0.5000
O 0.0000 0.0000 0.0000

Summary:
Symmetry   R-3m (166)
Formation energy from raw total energies   -1008 meV per atom
Density of states at the Fermi level   1.64 states/eV/atom
Total magnetization   1.000 Bohr magnetons per cell
Calculated density   2.46 g/cm³


(2)
## CdCuOs2 (SCAN)

Data for CdCuOs2 at its PBEsol-relaxed geometry.

Cell: 2.7000 2.7000 9.2236 Å, 90.00 90.00 117.64°
Positions (direct):
Cu 0.5000 0.5000 0.2399
Os 0.0000 0.0000 0.0026
Os 0.5000 0.5000 0.7665
Cd 0.0000 0.0000 0.4910

Summary:
Symmetry   Cmm2 (35)
Density of states at the Fermi level   0.99 states/eV/atom
Calculated formation energy   582 meV/atom
Total magnetization   0.000 Bohr magnetons per cell
Calculated density   15.51 g/cm³


(3)
## Cu6Pt5 (SCAN)

Data for Cu6Pt5 at its PBEsol-relaxed geometry.

Cell: 4.5856 5.8888 6.0097 Å, 107.64 105.50 97.43°
Positions (direct):
Pt 0.9543 0.0983 0.8212
Pt 0.1430 0.7222 0.5406
Pt 0.5000 0.0000 0.0000
Pt 0.0457 0.9017 0.1788
Pt 0.8570 0.2778 0.4594
Cu 0.4091 0.1898 0.6383
Cu 0.2317 0.5436 0.9115
Cu 0.7683 0.4564 0.0885
Cu 0.5909 0.8102 0.3617
Cu 0.6806 0.6309 0.7270
Cu 0.3194 0.3691 0.2730

Summary:
Symmetry   P-1 (2)
Density of states at the Fermi level   0.46 states/eV/atom
Calculated formation energy   -138 meV/atom
Distance to the lowest polymorph of the same formula   0.000 eV per atom
Total magnetization   0.000 Bohr magnetons per cell
Calculated density   15.53 g/cm³


(4)
## AsPb3O (SCAN)

Data for AsPb3O at its PBEsol-relaxed geometry.

Cell: 5.5124 5.5124 5.5124 Å, 90.00 90.00 90.00°
Positions (direct):
Pb 0.0000 0.0000 0.5000
Pb 0.0000 0.5000 0.0000
Pb 0.5000 0.0000 0.0000
O 0.5000 0.5000 0.5000
As 0.0000 0.0000 0.0000

Summary:
Symmetry   Pm-3m (221)
Formation energy from raw total energies   808 meV per atom
Density of states at the Fermi level   0.79 states/eV/atom
Total magnetization   0.772 Bohr magnetons per cell
Calculated density   7.06 g/cm³


(5)
## Mg2ScCd (SCAN)

Data for Mg2ScCd at its PBEsol-relaxed geometry.

Cell: 3.1562 5.3855 5.5193 Å, 101.47 90.00 107.04°
Positions (direct):
Cd 0.2547 0.5093 0.7413
Mg 0.7465 0.4931 0.2371
Mg 0.9926 0.9851 0.0072
Sc 0.5062 0.0125 0.5145

Summary:
Symmetry   Cm (8)
Density of states at the Fermi level   0.60 states/eV/atom
Calculated formation energy   -104 meV/atom
Total magnetization   0.119 Bohr magnetons per cell
Calculated density   3.90 g/cm³


(6)
## LaAlPt2 (SCAN)

Data for LaAlPt2 at its PBEsol-relaxed geometry.

Cell: 3.6677 3.6677 6.0509 Å, 90.00 90.00 90.00°
Positions (direct):
Al 0.0000 0.0000 0.4031
La 0.5000 0.5000 0.7881
Pt 0.0000 0.0000 0.9978
Pt 0.5000 0.5000 0.3110

Summary:
Symmetry   P4mm (99)
Density of states at the Fermi level   0.36 states/eV/atom
Calculated formation energy   -924 meV/atom
Total magnetization   0.000 Bohr magnetons per cell
Calculated density   11.34 g/cm³


Which formula does entry 1 have? RbOF2


Which of these has the lowest density of states at the Fermi level? LaAlPt2